Computed, not measured: a relaxed Nd2AlNiIr crystal at the PBE level of DFT.

a b c (Å): 5.6694 5.6694 5.6694
angles (deg): 136.62 76.32 120.64
Last column: nearest neighbours and their distance in Å.
Fractional positions:
Ir 0.2642 0.7642 0.5000  2 Al 2.58, 1 Ni 2.69
Nd 0.6967 0.4978 0.1989  3 Ni 3.04-3.07, 3 Ir 3.04-3.07, 4 Al 3.32-3.41
Nd 0.2989 0.4978 0.8011  3 Ni 3.04-3.07, 3 Ir 3.04-3.07, 4 Al 3.32-3.41
Al 0.9967 0.9967 0.0000  2 Ni 2.53, 2 Ir 2.58
Ni 0.7434 0.2434 0.5000  2 Al 2.53, 1 Ir 2.69

Results
* spin magnetization: 0.01 Bohr magnetons per cell
* DFT total energy: -6.158 eV/atom